Sc2SiAg: relaxed, PBEsol.

Output
- formation energy without anion corrections (eV per atom) = -0.485
- ρ (g/cm3) = 5.16
- magnetic moment (μB/f.u.) = 0.00

Structure (CIF):
```
data_Sc2SiAg
_chemical_formula_sum 'Sc2 Si1 Ag1'
_space_group_name_H-M_alt 'P 1'
_space_group_IT_number 1
_cell_length_a 3.064
_cell_length_b 3.619
_cell_length_c 6.548
_cell_angle_alpha 90.00
_cell_angle_beta 90.00
_cell_angle_gamma 90.00
loop_
_space_group_symop_operation_xyz
'x,y,z'
loop_
_atom_site_label
_atom_site_type_symbol
_atom_site_fract_x
_atom_site_fract_y
_atom_site_fract_z
_atom_site_occupancy
Ag1 Ag 0.500 0.500 0.500 1
Sc1 Sc 0.000 0.000 0.765 1
Sc2 Sc 0.000 0.000 0.235 1
Si1 Si 0.500 0.500 0.000 1
```